DFT (PBE) results for a relaxed structure of SmGdMgHg.

Unit cell a=5.364 b=5.364 c=5.364 alpha=60.00 beta=60.00 gamma=60.00
Site moments in Bohr magnetons follow the coordinates.
Fractional coordinates of all 4 atoms:
Mg  0.250  0.250  0.250  0.00
Gd  0.500  0.500  0.500  7.24
Hg  0.750  0.750  0.750  0.02
Sm  0.000  0.000  0.000  0.17

Computed properties:
The total energy is -0.2006 hartree per atom. The calculation puts the formation energy at -283 meV per atom.


DFT (PBE) results for a relaxed structure of Nd2SmAl.

Unit cell a=3.699 b=3.699 c=10.919 alpha=80.26 beta=80.26 gamma=60.02
Fractional coordinates of all 4 atoms:
Nd  0.072  0.072  0.784
Nd  0.261  0.261  0.216
Sm  0.500  0.500  0.500
Al  0.666  0.666  0.001

Computed properties:
As for the relative energy among the computed polymorphs: 0.619 eV per formula unit. The total energy is -0.1663 hartree per atom. The calculation puts the formation energy at -26 meV per atom.